Below is crystalline TcTe2Br at its relaxed geometry, with properties calculated at the PBE level.

Cell and atoms, written as POSCAR:
```
TcTe2Br
1.0
7.093 0.000 0.000
0.000 7.093 0.000
3.547 3.547 5.465
Te Br Tc
4 2 2
direct
0.038 0.625 0.250 Te
0.375 0.288 0.750 Te
0.712 0.125 0.250 Te
0.875 0.962 0.750 Te
0.250 0.750 0.500 Br
0.500 0.500 0.000 Br
0.000 0.000 0.000 Tc
0.750 0.250 0.500 Tc
```

Properties
The value obtained for the energy above the most stable polymorph in this dataset is 376.1 meV/atom. As for the total energy: -4.39 eV/atom.